Below is V2IrPt after structural relaxation, with properties calculated at the GGA-PBE level.

Output
Total moment = 0.000 Bohr magnetons per cell
VASP energy = -32.91 eV/f.u.
E_form = 0.23 eV/f.u.

Lattice parameters (Å, degrees): 6.8285 6.8285 5.3610 90.00 90.00 90.00
Last column: nearest neighbours and their distance in Å.
Sites, in units of the cell vectors:
1 V 0.2362 0.2500 0.1250  2 Ir 2.44, 2 Pt 2.57, 2 V 2.69
2 V 0.2500 0.7362 0.3750  2 Ir 2.44, 2 Pt 2.57, 2 V 2.69
3 V 0.2500 0.7638 0.8750  2 Ir 2.44, 2 Pt 2.57, 2 V 2.69
4 V 0.2638 0.2500 0.6250  2 Ir 2.44, 2 Pt 2.57, 2 V 2.69
5 V 0.7362 0.7500 0.6250  2 Ir 2.44, 2 Pt 2.57, 2 V 2.69
6 V 0.7500 0.2362 0.8750  2 Ir 2.44, 2 Pt 2.57, 2 V 2.69
7 V 0.7500 0.2638 0.3750  2 Ir 2.44, 2 Pt 2.57, 2 V 2.69
8 V 0.7638 0.7500 0.1250  2 Ir 2.44, 2 Pt 2.57, 2 V 2.69
9 Ir 0.0000 0.0000 0.0000  4 V 2.44, 2 Pt 2.68
10 Ir 0.0000 0.5000 0.2500  4 V 2.44, 2 Pt 2.68
11 Ir 0.5000 0.0000 0.7500  4 V 2.44, 2 Pt 2.68
12 Ir 0.5000 0.5000 0.5000  4 V 2.44, 2 Pt 2.68
13 Pt 0.0000 0.0000 0.5000  4 V 2.57, 2 Ir 2.68
14 Pt 0.0000 0.5000 0.7500  4 V 2.57, 2 Ir 2.68
15 Pt 0.5000 0.0000 0.2500  4 V 2.57, 2 Ir 2.68
16 Pt 0.5000 0.5000 0.0000  4 V 2.57, 2 Ir 2.68